i) Compound: Ac3PrSm
Source: Alexandria
Functional: PBE-GGA
Structure: relaxed

It has space group C2/m (No. 12), with a = 20.030 Å, b = 3.887 Å, c = 10.889 Å, α = 90.00°, β = 105.12° and γ = 90.00°. The inequivalent atoms are Ac at (0.002, 0.000, 0.239), Ac at (0.102, 0.500, 0.545), Ac at (0.201, 0.000, 0.848), Pr at (0.104, 0.500, 0.055) and Sm at (0.201, 0.000, 0.351).

The value obtained for the volume is 205 Å³/f.u.

=====

ii) Compound: Ac3PrSm
Source: Alexandria
Functional: PBE-GGA
Structure: relaxed

It has space group C2/m (No. 12), with a = 12.492 Å, b = 7.555 Å, c = 9.390 Å, α = 90.00°, β = 109.41° and γ = 90.00°. The inequivalent atoms are Ac at (0.154, 0.250, 0.117), Ac at (0.249, 0.000, 0.501), Pr at (0.057, 0.500, 0.726) and Sm at (0.057, 0.000, 0.727).

The value obtained for the volume is 209 Å³/f.u.

=====

Which is most stable, and by how much? i), by 130 meV per atom.

=====

i) Compound: AcPr4Sm
Source: Alexandria
Functional: PBE-GGA
Structure: relaxed

It has space group Cmcm (No. 63), with a = 12.029 Å, b = 7.244 Å, c = 11.926 Å, α = 90.00°, β = 90.00° and γ = 90.00°. The inequivalent atoms are Ac at (0.000, 0.002, 0.250), Pr at (0.000, 0.260, 0.000), Pr at (0.250, 0.245, 0.750) and Sm at (0.000, 0.498, 0.750).

The value obtained for the volume is 260 Å³/f.u.

=====

ii) Compound: AcPr4Sm
Source: Alexandria
Functional: PBE-GGA
Structure: relaxed

It has space group C2/c (No. 15), with a = 13.198 Å, b = 18.378 Å, c = 3.729 Å, α = 90.00°, β = 90.14° and γ = 90.00°. The inequivalent atoms are Ac at (0.000, 0.097, 0.250), Pr at (0.138, 0.261, 0.747), Pr at (0.242, 0.417, 0.249) and Sm at (0.000, 0.422, 0.750).

The value obtained for the volume is 226 Å³/f.u.

=====

Which is most stable, and by how much? ii), by 395 meV per atom.

=====

i) Compound: Ac3Pr4Sm
Source: Alexandria
Functional: PBE-GGA
Structure: relaxed

It has space group Pmna (No. 53), with a = 10.836 Å, b = 7.585 Å, c = 7.574 Å, α = 90.00°, β = 90.00° and γ = 90.00°. The inequivalent atoms are Ac at (0.000, 0.000, 0.000), Ac at (0.250, 0.256, 0.250), Pr at (0.000, 0.000, 0.500), Pr at (0.000, 0.500, 0.000), Pr at (0.250, 0.252, 0.750) and Sm at (0.000, 0.500, 0.500).

The value obtained for the volume is 311 Å³/f.u.

=====

ii) Compound: Ac3Pr4Sm
Source: Alexandria
Functional: PBE-GGA
Structure: relaxed

It has space group Pmn2_1 (No. 31), with a = 12.353 Å, b = 7.695 Å, c = 6.619 Å, α = 90.00°, β = 90.00° and γ = 90.00°. The inequivalent atoms are Ac at (0.000, 0.129, 0.000), Ac at (0.248, 0.134, 0.350), Pr at (0.000, 0.390, 0.518), Pr at (0.000, 0.620, 0.020), Pr at (0.247, 0.622, 0.342) and Sm at (0.000, 0.870, 0.506).

The value obtained for the volume is 315 Å³/f.u.

=====

Which is most stable, and by how much? i), by 22 meV per atom.

=====

i) Compound: Ac3Pr4Sm2
Source: Alexandria
Functional: PBE-GGA
Structure: relaxed

It has space group P-1 (No. 2), with a = 6.549 Å, b = 6.550 Å, c = 10.026 Å, α = 90.39°, β = 108.53° and γ = 119.90°. The inequivalent atoms are Ac at (0.000, 0.000, 0.000), Ac at (0.438, 0.884, 0.666), Pr at (0.114, 0.224, 0.666), Pr at (0.330, 0.660, 0.000) and Sm at (0.226, 0.447, 0.334).

The value obtained for the volume is 346 Å³/f.u.

=====

ii) Compound: Ac3Pr4Sm2
Source: Alexandria
Functional: PBE-GGA
Structure: relaxed

It has space group C2/c (No. 15), with a = 15.619 Å, b = 13.955 Å, c = 6.646 Å, α = 90.00°, β = 103.14° and γ = 90.00°. The inequivalent atoms are Ac at (0.000, 0.042, 0.250), Ac at (0.088, 0.290, 0.520), Pr at (0.103, 0.441, 0.990), Pr at (0.214, 0.072, 0.623) and Sm at (0.185, 0.181, 0.103).

The value obtained for the volume is 353 Å³/f.u.

=====

Which is most stable, and by how much? i), by 87 meV per atom.

=====

i) Compound: Ac2Pr3Sm
Source: Alexandria
Functional: PBE-GGA
Structure: relaxed

It has space group C2/m (No. 12), with a = 16.094 Å, b = 5.385 Å, c = 11.946 Å, α = 90.00°, β = 116.54° and γ = 90.00°. The inequivalent atoms are Ac at (0.036, 0.000, 0.369), Ac at (0.209, 0.500, 0.369), Pr at (0.046, 0.500, 0.882), Pr at (0.125, 0.000, 0.120), Pr at (0.209, 0.000, 0.879) and Sm at (0.126, 0.500, 0.630).

The value obtained for the volume is 232 Å³/f.u.

=====

ii) Compound: Ac2Pr3Sm
Source: Alexandria
Functional: PBE-GGA
Structure: relaxed

It has space group Pnnm (No. 58), with a = 6.917 Å, b = 18.859 Å, c = 3.652 Å, α = 90.00°, β = 90.00° and γ = 90.00°. The inequivalent atoms are Ac at (0.223, 0.188, 0.000), Pr at (0.000, 0.500, 0.000), Pr at (0.220, 0.361, 0.500) and Sm at (0.000, 0.000, 0.000).

The value obtained for the volume is 238 Å³/f.u.

=====

Which is most stable, and by how much? i), by 214 meV per atom.

=====

i) Compound: AcPr8Sm6
Source: Alexandria
Functional: PBE-GGA
Structure: relaxed

It has space group R-3 (No. 148, hexagonal axes), with a = 9.7488 Å, b = 9.7488 Å, c = 20.5078 Å, α = 90.00°, β = 90.00° and γ = 120.00°. The inequivalent atoms are Ac at (0.0000, 0.0000, 0.0000), Pr at (0.0000, 0.0000, 0.2380), Pr at (0.9999, 0.3018, 0.1246) and Sm at (0.0005, 0.2750, 0.6258).

The value obtained for the volume is 563 Å³/f.u.

=====

ii) Compound: AcPr8Sm6
Source: Alexandria
Functional: PBE-GGA
Structure: relaxed

It has space group R-3 (No. 148, hexagonal axes), with a = 9.5668 Å, b = 9.5668 Å, c = 20.5355 Å, α = 90.00°, β = 90.00° and γ = 120.00°. The inequivalent atoms are Ac at (0.0000, 0.0000, 0.0000), Pr at (0.0000, 0.0000, 0.4274), Pr at (0.0624, 0.2460, 0.1638) and Sm at (0.0395, 0.2426, 0.6912).

The value obtained for the volume is 543 Å³/f.u.

=====

Which is most stable, and by how much? ii), by 81 meV per atom.